# Y2InPb | the Alexandria database | GGA-PBE | relaxed
data_Y2InPb
_symmetry_space_group_name_H-M 'P 1'
_symmetry_Int_Tables_number 1
_symmetry_space_group_name_Hall 'P 1'
_cell_length_a 3.535
_cell_length_b 3.535
_cell_length_c 8.822
_cell_angle_alpha 90.00
_cell_angle_beta 90.00
_cell_angle_gamma 90.00
loop_
_atom_site_label
_atom_site_fract_x
_atom_site_fract_y
_atom_site_fract_z
_atom_site_occupancy
Y1 0.000 0.000 0.241 1
Y2 0.000 0.000 0.759 1
In1 0.500 0.500 0.000 1
Pb1 0.500 0.500 0.500 1
# Symmetry: P4/mmm, No. 123
# Energy of formation from the pure elements, eV per atom: -0.473